# La4FeCo3O12

Crystalline La4FeCo3O12 at its relaxed geometry (PBE with a Hubbard U, the Alexandria database).

The structure belongs to space group P-1 (No. 2); the cell edges are 5.433, 5.484 and 7.695 Å and the angles 89.94°, 89.89° and 89.84°. The distinct sites, in fractional coordinates, are La at (0.026, 0.494, 0.249), La at (0.473, 0.997, 0.751), Fe at (0.500, 0.500, 0.500), Co at (0.000, 0.000, 0.000), Co at (0.000, 0.000, 0.500), Co at (0.500, 0.500, 0.000), O at (0.007, 0.070, 0.751), O at (0.220, 0.724, 0.536), O at (0.221, 0.722, 0.963), O at (0.277, 0.219, 0.465), O at (0.278, 0.221, 0.037) and O at (0.492, 0.566, 0.247).

Its uncorrected energy is -7.20 eV/atom. The mass density comes out at 7.100 g/cm3.